Computed, not measured: LaRe2W after structural relaxation at the PBE level of DFT.

Results
- DOS(E_F): 3.66 states/eV per cell
- Uncorrected energy: -10.1290 eV/atom

Cell: 5.1847 5.1847 5.5418 Å, 105.77 105.77 35.21°
Fractional coordinates of all 4 atoms:
La 0.0000 0.0000 0.0000
Re 0.4908 0.4908 0.4860
Re 0.7726 0.7726 0.3402
W 0.2092 0.2092 0.6537